Density functional theory data (PBE-GGA) for Ac2Pt15Pb2 after structural relaxation.

Calculated values
Symmetry: No. 166
Total magnetization (μB/f.u.): 0.0
Formation energy (eV per atom): -0.471

a b c (Å): 7.1596 7.1596 7.1596
angles (deg): 84.37 84.37 84.37
With the nearest neighbours (Å) after each atom.
Element x y z (fractional)
Ac (0.1473, 0.1473, 0.1473)  12 Pt 3.27-3.41, 1 Pb 3.36
Ac (0.8527, 0.8527, 0.8527)  12 Pt 3.27-3.41, 1 Pb 3.36
Pt (0.0000, 0.5000, 0.5000)  8 Pt 2.74-2.81, 2 Pb 2.90
Pt (0.1580, 0.1580, 0.6687)  8 Pt 2.72-2.81, 1 Pb 2.98
Pt (0.1580, 0.6687, 0.1580)  8 Pt 2.72-2.81, 1 Pb 2.98
Pt (0.1770, 0.5000, 0.8230)  6 Pt 2.74-2.80
Pt (0.1770, 0.8230, 0.5000)  6 Pt 2.74-2.80
Pt (0.3313, 0.8420, 0.8420)  8 Pt 2.72-2.81, 1 Pb 2.98
Pt (0.5000, 0.0000, 0.5000)  8 Pt 2.74-2.81, 2 Pb 2.90
Pt (0.5000, 0.1770, 0.8230)  6 Pt 2.74-2.80
Pt (0.5000, 0.5000, 0.0000)  8 Pt 2.74-2.81, 2 Pb 2.90
Pt (0.5000, 0.8230, 0.1770)  6 Pt 2.74-2.80
Pt (0.6687, 0.1580, 0.1580)  8 Pt 2.72-2.81, 1 Pb 2.98
Pt (0.8230, 0.1770, 0.5000)  6 Pt 2.74-2.80
Pt (0.8230, 0.5000, 0.1770)  6 Pt 2.74-2.80
Pt (0.8420, 0.3313, 0.8420)  8 Pt 2.72-2.81, 1 Pb 2.98
Pt (0.8420, 0.8420, 0.3313)  8 Pt 2.72-2.81, 1 Pb 2.98
Pb (0.3950, 0.3950, 0.3950)  1 Pb 2.85, 6 Pt 2.90-2.98
Pb (0.6050, 0.6050, 0.6050)  1 Pb 2.85, 6 Pt 2.90-2.98

Density functional theory data (PBE-GGA) for Ac8PtPb2 after structural relaxation.

Calculated values
Symmetry: No. 12
Total magnetization (μB/f.u.): 0.0
Formation energy (eV per atom): -0.387

a b c (Å): 10.4734 10.4734 9.4102
angles (deg): 97.62 97.62 25.78
With the nearest neighbours (Å) after each atom.
Element x y z (fractional)
Ac (0.0036, 0.0036, 0.2107)  2 Pt 3.06
Ac (0.2105, 0.2105, 0.3545)  2 Pb 3.46, 4 Ac 3.79-3.86
Ac (0.3484, 0.3484, 0.9838)  1 Pt 3.08
Ac (0.4044, 0.4044, 0.4665)  2 Pb 3.51, 3 Ac 3.86-3.87
Ac (0.5956, 0.5956, 0.5335)  2 Pb 3.51, 3 Ac 3.86-3.87
Ac (0.6516, 0.6516, 0.0162)  1 Pt 3.08
Ac (0.7895, 0.7895, 0.6455)  2 Pb 3.46, 4 Ac 3.79-3.86
Ac (0.9964, 0.9964, 0.7893)  2 Pt 3.06
Pt (0.5000, 0.5000, 0.0000)  6 Ac 3.06-3.08
Pb (0.1839, 0.1839, 0.7631)  8 Ac 3.46-3.87
Pb (0.8161, 0.8161, 0.2369)  8 Ac 3.46-3.87

Density functional theory data (PBE-GGA) for Ac4Pt3Pb after structural relaxation.

Calculated values
Symmetry: No. 47
Total magnetization (μB/f.u.): 0.0
Formation energy (eV per atom): -0.891

a b c (Å): 4.4805 6.4540 9.0611
angles (deg): 90.00 90.00 90.00
With the nearest neighbours (Å) after each atom.
Element x y z (fractional)
Ac (0.0000, 0.0000, 0.0000)  6 Pt 3.15-3.23
Ac (0.0000, 0.0000, 0.5000)  4 Pt 3.22, 2 Pb 3.23
Ac (0.5000, 0.5000, 0.2246)  4 Pt 3.03-3.23, 2 Pb 3.35
Ac (0.5000, 0.5000, 0.7754)  4 Pt 3.03-3.23, 2 Pb 3.35
Pt (0.0000, 0.5000, 0.0000)  6 Ac 3.03-3.23
Pt (0.5000, 0.0000, 0.2449)  6 Ac 3.15-3.23
Pt (0.5000, 0.0000, 0.7551)  6 Ac 3.15-3.23
Pb (0.0000, 0.5000, 0.5000)  6 Ac 3.23-3.35

Density functional theory data (PBE-GGA) for Ac2Pt3Pb after structural relaxation.

Calculated values
Symmetry: No. 62
Total magnetization (μB/f.u.): 0.0
Formation energy (eV per atom): -0.917

a b c (Å): 7.7908 4.1871 19.3451
angles (deg): 90.00 90.00 90.00
With the nearest neighbours (Å) after each atom.
Element x y z (fractional)
Ac (0.0089, 0.2500, 0.0932)  7 Pt 3.11-3.48
Ac (0.0316, 0.2500, 0.3075)  6 Pt 3.14-3.46
Ac (0.4684, 0.7500, 0.8075)  6 Pt 3.14-3.46
Ac (0.4911, 0.7500, 0.5932)  7 Pt 3.11-3.48
Ac (0.5089, 0.2500, 0.4068)  7 Pt 3.11-3.48
Ac (0.5316, 0.2500, 0.1925)  6 Pt 3.14-3.46
Ac (0.9684, 0.7500, 0.6925)  6 Pt 3.14-3.46
Ac (0.9911, 0.7500, 0.9068)  7 Pt 3.11-3.48
Pt (0.1684, 0.2500, 0.8102)  2 Pt 2.69-2.76
Pt (0.2212, 0.7500, 0.1785)  1 Pt 2.69, 1 Pb 2.87
Pt (0.2310, 0.7500, 0.4472)  1 Pt 2.76, 3 Pb 2.86-2.90
Pt (0.2690, 0.2500, 0.9472)  1 Pt 2.76, 3 Pb 2.86-2.90
Pt (0.2788, 0.2500, 0.6785)  1 Pt 2.69, 1 Pb 2.87
Pt (0.3316, 0.7500, 0.3102)  2 Pt 2.69-2.76
Pt (0.6684, 0.2500, 0.6898)  2 Pt 2.69-2.76
Pt (0.7212, 0.7500, 0.3215)  1 Pt 2.69, 1 Pb 2.87
Pt (0.7310, 0.7500, 0.0528)  1 Pt 2.76, 3 Pb 2.86-2.90
Pt (0.7690, 0.2500, 0.5528)  1 Pt 2.76, 3 Pb 2.86-2.90
Pt (0.7788, 0.2500, 0.8215)  1 Pt 2.69, 1 Pb 2.87
Pt (0.8316, 0.7500, 0.1898)  2 Pt 2.69-2.76
Pb (0.1401, 0.2500, 0.5410)  4 Pt 2.86-2.90
Pb (0.3599, 0.7500, 0.0410)  4 Pt 2.86-2.90
Pb (0.6401, 0.2500, 0.9590)  4 Pt 2.86-2.90
Pb (0.8599, 0.7500, 0.4590)  4 Pt 2.86-2.90

Density functional theory data (PBE-GGA) for Ac2Pt2Pb3 after structural relaxation.

Calculated values
Symmetry: No. 65
Total magnetization (μB/f.u.): 0.0
Formation energy (eV per atom): -0.690
Energy above the lowest structure with this stoichiometry (meV/atom): 0.0

a b c (Å): 11.2754 11.2754 4.0119
angles (deg): 90.00 90.00 156.34
With the nearest neighbours (Å) after each atom.
Element x y z (fractional)
Ac (0.1730, 0.8270, 0.0000)  6 Pt 3.17-3.27
Ac (0.8270, 0.1730, 0.0000)  6 Pt 3.17-3.27
Pt (0.2899, 0.7101, 0.5000)  2 Pt 2.91, 1 Pb 2.97, 4 Ac 3.17
Pt (0.7101, 0.2899, 0.5000)  2 Pt 2.91, 1 Pb 2.97, 4 Ac 3.17
Pb (0.0000, 0.0000, 0.0000)  8 Pb 3.49, 2 Ac 3.82
Pb (0.4244, 0.5756, 0.5000)  1 Pt 2.97
Pb (0.5756, 0.4244, 0.5000)  1 Pt 2.97

Density functional theory data (PBE-GGA) for Ac7Pt5Pb after structural relaxation.

Calculated values
Symmetry: No. 63
Total magnetization (μB/f.u.): 0.0
Formation energy (eV per atom): -1.016

a b c (Å): 7.6472 7.6472 26.3002
angles (deg): 90.00 90.00 145.95
With the nearest neighbours (Å) after each atom.
Element x y z (fractional)
Ac (0.0345, 0.9655, 0.7500)  2 Pt 3.03
Ac (0.1343, 0.8657, 0.0353)  6 Pt 3.11-3.15
Ac (0.1343, 0.8657, 0.4647)  6 Pt 3.11-3.15
Ac (0.3255, 0.6745, 0.6698)  3 Pt 2.97-3.07
Ac (0.3255, 0.6745, 0.8302)  3 Pt 2.97-3.07
Ac (0.4066, 0.5934, 0.1048)  5 Pt 3.08-3.12
Ac (0.4066, 0.5934, 0.3952)  5 Pt 3.08-3.12
Ac (0.5934, 0.4066, 0.6048)  5 Pt 3.08-3.12
Ac (0.5934, 0.4066, 0.8952)  5 Pt 3.08-3.12
Ac (0.6745, 0.3255, 0.1698)  3 Pt 2.97-3.07
Ac (0.6745, 0.3255, 0.3302)  3 Pt 2.97-3.07
Ac (0.8657, 0.1343, 0.5353)  6 Pt 3.11-3.15
Ac (0.8657, 0.1343, 0.9647)  6 Pt 3.11-3.15
Ac (0.9655, 0.0345, 0.2500)  2 Pt 3.03
Pt (0.0392, 0.9608, 0.1425)  6 Ac 3.03-3.14
Pt (0.0392, 0.9608, 0.3575)  6 Ac 3.03-3.14
Pt (0.2281, 0.7719, 0.5709)  6 Ac 2.97-3.15
Pt (0.2281, 0.7719, 0.9291)  6 Ac 2.97-3.15
Pt (0.5000, 0.5000, 0.0000)  6 Ac 3.08-3.12
Pt (0.5000, 0.5000, 0.5000)  6 Ac 3.08-3.12
Pt (0.7719, 0.2281, 0.0709)  6 Ac 2.97-3.15
Pt (0.7719, 0.2281, 0.4291)  6 Ac 2.97-3.15
Pt (0.9608, 0.0392, 0.6425)  6 Ac 3.03-3.14
Pt (0.9608, 0.0392, 0.8575)  6 Ac 3.03-3.14
Pb (0.2911, 0.7089, 0.2500)  6 Ac 3.39-3.52
Pb (0.7089, 0.2911, 0.7500)  6 Ac 3.39-3.52

Density functional theory data (PBE-GGA) for AcPtPb after structural relaxation.

Calculated values
Symmetry: No. 44
Total magnetization (μB/f.u.): 0.0
Formation energy (eV per atom): -0.771
Energy above the lowest structure with this stoichiometry (meV/atom): 51.8

a b c (Å): 6.3221 6.3221 6.3221
angles (deg): 133.94 100.62 97.00
With the nearest neighbours (Å) after each atom.
Element x y z (fractional)
Ac (0.0000, 0.0000, 0.0000)  6 Pb 3.41-3.48, 6 Pt 3.46-3.56
Ac (0.5655, 0.0655, 0.5000)  6 Pt 3.22-3.60, 6 Pb 3.53-3.58
Pt (0.1164, 0.3567, 0.7597)  3 Pb 2.83-2.87
Pt (0.5970, 0.3567, 0.2403)  3 Pb 2.83-2.87
Pb (0.4031, 0.6950, 0.7081)  3 Pt 2.83-2.87
Pb (0.9870, 0.6950, 0.2919)  3 Pt 2.83-2.87

Density functional theory data (PBE-GGA) for Ac3Pt8Pb after structural relaxation.

Calculated values
Symmetry: No. 160
Total magnetization (μB/f.u.): 0.0
Formation energy (eV per atom): -0.879

a b c (Å): 9.7122 9.7122 9.7122
angles (deg): 33.78 33.78 33.78
With the nearest neighbours (Å) after each atom.
Element x y z (fractional)
Ac (0.0000, 0.0000, 0.0000)  12 Pt 3.27-3.31, 4 Ac 3.54-3.55
Ac (0.1290, 0.1290, 0.1290)  12 Pt 3.20-3.40, 3 Pb 3.34, 1 Ac 3.54
Ac (0.6150, 0.6150, 0.6150)  12 Pt 3.17-3.47, 1 Pb 3.48
Pt (0.0565, 0.5621, 0.5621)  6 Pt 2.79-2.85, 1 Pb 3.08
Pt (0.0607, 0.0607, 0.5655)  6 Pt 2.79-2.85
Pt (0.0607, 0.5655, 0.0607)  6 Pt 2.79-2.85
Pt (0.3116, 0.3116, 0.3116)  6 Pt 2.79-2.80
Pt (0.5621, 0.0565, 0.5621)  6 Pt 2.79-2.85, 1 Pb 3.08
Pt (0.5621, 0.5621, 0.0565)  6 Pt 2.79-2.85, 1 Pb 3.08
Pt (0.5655, 0.0607, 0.0607)  6 Pt 2.79-2.85
Pt (0.8120, 0.8120, 0.8120)  6 Pt 2.81-2.84
Pb (0.4883, 0.4883, 0.4883)  6 Pt 3.08-3.27, 3 Ac 3.34

Density functional theory data (PBE-GGA) for Ac4Pt2Pb5 after structural relaxation.

Calculated values
Symmetry: No. 10
Total magnetization (μB/f.u.): 0.0
Formation energy (eV per atom): -0.665

a b c (Å): 8.4026 4.1988 9.9873
angles (deg): 90.00 92.92 90.00
With the nearest neighbours (Å) after each atom.
Element x y z (fractional)
Ac (0.2033, 0.0000, 0.3450)  2 Pt 3.14
Ac (0.2159, 0.0000, 0.9193)  4 Pt 3.20-3.29
Ac (0.7841, 0.0000, 0.0807)  4 Pt 3.20-3.29
Ac (0.7967, 0.0000, 0.6550)  2 Pt 3.14
Pt (0.0836, 0.5000, 0.1290)  1 Pt 2.87, 2 Pb 3.11, 4 Ac 3.14-3.20
Pt (0.9164, 0.5000, 0.8710)  1 Pt 2.87, 2 Pb 3.11, 4 Ac 3.14-3.20
Pb (0.1372, 0.5000, 0.6301)  1 Pt 3.11, 2 Pb 3.37-3.39
Pb (0.4539, 0.5000, 0.1611)  1 Pt 3.11, 2 Pb 3.35-3.39
Pb (0.5000, 0.5000, 0.5000)  4 Pb 3.37-3.39, 4 Ac 3.55
Pb (0.5461, 0.5000, 0.8389)  1 Pt 3.11, 2 Pb 3.35-3.39
Pb (0.8628, 0.5000, 0.3699)  1 Pt 3.11, 2 Pb 3.37-3.39

Density functional theory data (PBE-GGA) for AcPtPb after structural relaxation.

Calculated values
Symmetry: No. 216
Total magnetization (μB/f.u.): 0.0
Formation energy (eV per atom): -0.748
Energy above the lowest structure with this stoichiometry (meV/atom): 75.1

a b c (Å): 5.0537 5.0537 5.0537
angles (deg): 60.00 60.00 60.00
With the nearest neighbours (Å) after each atom.
Element x y z (fractional)
Ac (0.0000, 0.0000, 0.0000)  4 Pt 3.09
Pt (0.7500, 0.7500, 0.7500)  4 Ac 3.09, 4 Pb 3.09
Pb (0.5000, 0.5000, 0.5000)  4 Pt 3.09